DFT (PBE) results for a geometry-optimized Tb8Bi2Pt structure.

Lattice parameters (Å, degrees): 4.744 7.348 9.825 96.27 103.97 90.00
Fractional coordinates of all 11 atoms:
Tb (0.214, 0.354, 0.428)
Bi (0.182, 0.784, 0.364)
Tb (0.998, 0.771, 0.996)
Tb (0.643, 0.048, 0.287)
Tb (0.786, 0.646, 0.572)
Pt (0.500, 0.000, 0.000)
Bi (0.818, 0.216, 0.636)
Tb (0.357, 0.952, 0.713)
Tb (0.002, 0.229, 0.004)
Tb (0.405, 0.481, 0.810)
Tb (0.595, 0.519, 0.190)

DFT (PBE) results for a geometry-optimized Tb12BiPt6 structure.

Lattice parameters (Å, degrees): 8.740 8.740 8.740 109.47 109.47 109.47
Fractional coordinates of all 19 atoms:
Tb (0.878, 0.181, 0.696)
Tb (0.304, 0.485, 0.181)
Tb (0.181, 0.304, 0.485)
Pt (0.862, 0.362, 0.500)
Tb (0.485, 0.181, 0.304)
Tb (0.696, 0.878, 0.181)
Pt (0.500, 0.138, 0.638)
Pt (0.500, 0.862, 0.362)
Tb (0.819, 0.696, 0.515)
Pt (0.638, 0.500, 0.138)
Tb (0.515, 0.819, 0.696)
Tb (0.304, 0.122, 0.819)
Tb (0.696, 0.515, 0.819)
Pt (0.138, 0.638, 0.500)
Tb (0.819, 0.304, 0.122)
Bi (0.000, 0.000, 0.000)
Tb (0.181, 0.696, 0.878)
Tb (0.122, 0.819, 0.304)
Pt (0.362, 0.500, 0.862)

DFT (PBE) results for a geometry-optimized TbBiPt2 structure.

Lattice parameters (Å, degrees): 3.671 3.671 6.456 90.00 90.00 90.00
Fractional coordinates of all 4 atoms:
Tb (0.500, 0.500, 0.000)
Pt (0.000, 0.000, 0.226)
Bi (0.500, 0.500, 0.500)
Pt (0.000, 0.000, 0.774)

Total magnetic moment per entry: 0.0; 0.0; 0.0 μB per formula unit
Final energy per entry: -56.25; -112.38; -23.51 eV/cell
Energy of formation per entry: -0.49; -0.88; -0.73 eV per atom